one.
{
  "formula": "Ho2Tm2Tl",
  "functional": "PBE",
  "state": "relaxed",
  "cell": [[-2.2009, 0.8814, -4.0085], [-6.1621, -4.7045, 2.3489], [-3.6046, 6.4139, 3.3896]],
  "species": ["Ho", "Ho", "Ho", "Ho", "Tm", "Tm", "Tm", "Tm", "Tl", "Tl"],
  "fractional_positions": [[0.0000, 0.3515, 0.8515], [0.0000, 0.8515, 0.6485], [0.0000, 0.6485, 0.1485], [0.0000, 0.1485, 0.3515], [0.5000, 0.1500, 0.6500], [0.5000, 0.6500, 0.8500], [0.5000, 0.8500, 0.3500], [0.5000, 0.3500, 0.1500], [0.0000, 0.0000, 0.0000], [0.0000, 0.5000, 0.5000]],
  "total_magnetization_mub_per_fu": 0.00
}

---

two.
{
  "formula": "Ho2Tm2Tl",
  "functional": "PBE",
  "state": "relaxed",
  "cell": [[-2.7166, -7.5535, -1.8550], [1.4831, -3.8522, -4.7814], [4.0869, -7.0028, 3.1504]],
  "species": ["Ho", "Ho", "Ho", "Ho", "Tm", "Tm", "Tm", "Tm", "Tl", "Tl"],
  "fractional_positions": [[0.6625, 0.3686, 0.7171], [0.3375, 0.6314, 0.2829], [0.0311, 0.6314, 0.7171], [0.9689, 0.3686, 0.2829], [0.7334, 0.0000, 0.4274], [0.6050, 0.0000, 0.1184], [0.3950, 0.0000, 0.8816], [0.2666, 0.0000, 0.5726], [0.1650, 0.6700, 0.0000], [0.8350, 0.3300, 0.0000]],
  "total_magnetization_mub_per_fu": 0.00
}

---

Which is most stable, and by how much? two, by 114 meV per atom.

---

one.
{
  "formula": "Ho3TmTl2",
  "functional": "PBE",
  "state": "relaxed",
  "cell": [[6.4922, 0.0000, 0.0000], [0.0000, 6.4905, 0.0009], [-3.2461, -3.2441, 8.2660]],
  "species": ["Ho", "Ho", "Ho", "Ho", "Ho", "Ho", "Tm", "Tm", "Tl", "Tl", "Tl", "Tl"],
  "fractional_positions": [[0.4247, 0.6760, 0.3521], [0.5753, 0.3240, 0.6479], [0.0725, 0.8240, 0.6479], [0.9275, 0.1760, 0.3521], [0.5000, 0.7500, 0.0000], [0.5000, 0.2500, 0.0000], [0.0000, 0.2500, 0.0000], [0.0000, 0.7500, 0.0000], [0.3859, 0.1365, 0.2731], [0.6141, 0.8635, 0.7269], [0.1128, 0.3635, 0.7269], [0.8872, 0.6365, 0.2731]],
  "total_magnetization_mub_per_fu": 0.70
}

---

two.
{
  "formula": "Ho3TmTl2",
  "functional": "PBE",
  "state": "relaxed",
  "cell": [[-3.3712, 3.7259, 0.5915], [-3.0430, -3.5294, 4.8890], [5.8998, 4.2663, 6.7522]],
  "species": ["Ho", "Ho", "Ho", "Ho", "Ho", "Ho", "Tm", "Tm", "Tl", "Tl", "Tl", "Tl"],
  "fractional_positions": [[0.0000, 0.4539, 0.9603], [0.0000, 0.9539, 0.0397], [0.5000, 0.6741, 0.1890], [0.5000, 0.1741, 0.8110], [0.0000, 0.3262, 0.3140], [0.0000, 0.8262, 0.6860], [0.5000, 0.5452, 0.5400], [0.5000, 0.0452, 0.4600], [0.5000, 0.7066, 0.8659], [0.5000, 0.2066, 0.1341], [0.0000, 0.2940, 0.6338], [0.0000, 0.7940, 0.3662]],
  "total_magnetization_mub_per_fu": 0.00
}

---

Which is most stable, and by how much? two, by 61 meV per atom.

---

one.
{
  "formula": "Ho6TmTl2",
  "functional": "PBE",
  "state": "relaxed",
  "cell": [[6.0842, -0.2837, -0.2747], [1.1916, 9.3755, 1.1277], [1.1916, 1.4308, 9.3340]],
  "species": ["Ho", "Ho", "Ho", "Ho", "Ho", "Ho", "Ho", "Ho", "Ho", "Ho", "Ho", "Ho", "Tm", "Tm", "Tl", "Tl", "Tl", "Tl"],
  "fractional_positions": [[0.4894, 0.6861, 0.4245], [0.0106, 0.5755, 0.3139], [0.5106, 0.3139, 0.5755], [0.9894, 0.4245, 0.6861], [0.6641, 0.0969, 0.3546], [0.8359, 0.6454, 0.9031], [0.3359, 0.9031, 0.6454], [0.1641, 0.3546, 0.0969], [0.3124, 0.7332, 0.0252], [0.1876, 0.9748, 0.2668], [0.6876, 0.2668, 0.9748], [0.8124, 0.0252, 0.7332], [0.2500, 0.0994, 0.9006], [0.7500, 0.9006, 0.0994], [0.4150, 0.5386, 0.7793], [0.0850, 0.2207, 0.4614], [0.5850, 0.4614, 0.2207], [0.9150, 0.7793, 0.5386]],
  "total_magnetization_mub_per_fu": 0.00
}

---

two.
{
  "formula": "Ho6TmTl2",
  "functional": "PBE",
  "state": "relaxed",
  "cell": [[3.6691, 0.0000, 0.5825], [1.6042, 6.1691, 1.7420], [0.0160, -0.0221, 11.7455]],
  "species": ["Ho", "Ho", "Ho", "Ho", "Ho", "Ho", "Tm", "Tl", "Tl"],
  "fractional_positions": [[0.6828, 0.5111, 0.1233], [0.3172, 0.4889, 0.8767], [0.3103, 0.7938, 0.5856], [0.9848, 0.6858, 0.3446], [0.0152, 0.3142, 0.6554], [0.6897, 0.2062, 0.4144], [0.0000, 0.0000, 0.0000], [0.3595, 0.0782, 0.2027], [0.6405, 0.9218, 0.7973]],
  "total_magnetization_mub_per_fu": 0.00
}

---

Which is most stable, and by how much? two, by 60 meV per atom.

---

one.
{
  "formula": "HoTm4Tl",
  "functional": "PBE",
  "state": "relaxed",
  "cell": [[5.4518, 0.0000, 0.0000], [0.0000, 6.4300, 0.0000], [-2.7259, 0.0000, 10.4686]],
  "species": ["Ho", "Ho", "Tm", "Tm", "Tm", "Tm", "Tm", "Tm", "Tm", "Tm", "Tl", "Tl"],
  "fractional_positions": [[0.9367, 0.7681, 0.8734], [0.0633, 0.2681, 0.1266], [0.8620, 0.2530, 0.7240], [0.1380, 0.7530, 0.2760], [0.4606, 0.0918, 0.9213], [0.5394, 0.5918, 0.0787], [0.6813, 0.4126, 0.3626], [0.3187, 0.9126, 0.6374], [0.7445, 0.8906, 0.4889], [0.2555, 0.3906, 0.5111], [0.6025, 0.0172, 0.2051], [0.3975, 0.5172, 0.7949]],
  "total_magnetization_mub_per_fu": 0.00
}

---

two.
{
  "formula": "HoTm4Tl",
  "functional": "PBE",
  "state": "relaxed",
  "cell": [[3.5388, 0.0000, 0.0000], [0.0000, 3.5388, 0.0000], [0.0000, 0.0000, 14.0045]],
  "species": ["Ho", "Tm", "Tm", "Tm", "Tm", "Tl"],
  "fractional_positions": [[0.0000, 0.0000, 0.0000], [0.5000, 0.5000, 0.1758], [0.0000, 0.0000, 0.6510], [0.0000, 0.0000, 0.3490], [0.5000, 0.5000, 0.8242], [0.5000, 0.5000, 0.5000]],
  "total_magnetization_mub_per_fu": 0.00
}

---

Which is most stable, and by how much? two, by 146 meV per atom.

---

one.
{
  "formula": "Ho6TmTl",
  "functional": "PBE",
  "state": "relaxed",
  "cell": [[-8.7768, 2.4125, -0.8960], [-3.9363, 0.1802, -7.6097], [-5.2645, -2.6195, -2.1640]],
  "species": ["Ho", "Ho", "Ho", "Ho", "Ho", "Ho", "Tm", "Tl"],
  "fractional_positions": [[0.0350, 0.4561, 0.7517], [0.7572, 0.9651, 0.7341], [0.5436, 0.2427, 0.1789], [0.2428, 0.0349, 0.2659], [0.9650, 0.5439, 0.2483], [0.4564, 0.7573, 0.8211], [0.5000, 0.5000, 0.5000], [0.0000, 0.0000, 0.0000]],
  "total_magnetization_mub_per_fu": 0.00
}

---

two.
{
  "formula": "Ho6TmTl",
  "functional": "PBE",
  "state": "relaxed",
  "cell": [[-1.8266, 2.9596, -3.4199], [1.8883, -2.8524, -3.4770], [-8.3913, -5.3619, -0.1584]],
  "species": ["Ho", "Ho", "Ho", "Ho", "Ho", "Ho", "Tm", "Tl"],
  "fractional_positions": [[0.5000, 0.5000, 0.0000], [0.5000, 0.5000, 0.5000], [0.5000, 0.0000, 0.2531], [0.5000, 0.0000, 0.7469], [0.0000, 0.5000, 0.2531], [0.0000, 0.5000, 0.7469], [0.0000, 0.0000, 0.0000], [0.0000, 0.0000, 0.5000]],
  "total_magnetization_mub_per_fu": 0.00
}

---

Which is most stable, and by how much? two, by 98 meV per atom.

---

one.
{
  "formula": "Ho2Tm3Tl",
  "functional": "PBE",
  "state": "relaxed",
  "cell": [[-4.8766, 3.6452, 3.3516], [-6.0554, -6.6050, -1.6270], [6.1800, 2.6008, 6.1632]],
  "species": ["Ho", "Ho", "Ho", "Ho", "Tm", "Tm", "Tm", "Tm", "Tm", "Tm", "Tl", "Tl"],
  "fractional_positions": [[0.4930, 0.6386, 0.3613], [0.9930, 0.6387, 0.3614], [0.4930, 0.3613, 0.6386], [0.9930, 0.3614, 0.6387], [0.2430, 0.8245, 0.2001], [0.7430, 0.7999, 0.1755], [0.2430, 0.2001, 0.8245], [0.7430, 0.1755, 0.7999], [0.2431, 0.8223, 0.8223], [0.7431, 0.1777, 0.1777], [0.7430, 0.6931, 0.6931], [0.2430, 0.3069, 0.3069]],
  "total_magnetization_mub_per_fu": 0.13
}

---

two.
{
  "formula": "Ho2Tm3Tl",
  "functional": "PBE",
  "state": "relaxed",
  "cell": [[4.8286, 0.0000, 0.0000], [0.0000, 4.5576, -1.5410], [0.0000, 0.1117, 7.8404]],
  "species": ["Ho", "Ho", "Tm", "Tm", "Tm", "Tl"],
  "fractional_positions": [[0.0000, 0.6624, 0.3248], [0.0000, 0.3376, 0.6752], [0.5000, 0.1696, 0.3392], [0.5000, 0.5000, 0.0000], [0.5000, 0.8304, 0.6608], [0.0000, 0.0000, 0.0000]],
  "total_magnetization_mub_per_fu": 0.00
}

---

Which is most stable, and by how much? two, by 57 meV per atom.